A relaxed structure of Pr6Cu2Pd. Source: Alexandria, functional PBE.

The structure in POSCAR format:
```
Pr6Cu2Pd
1.0
-4.9871 5.0189 5.0705
4.9871 -5.0189 5.0705
4.9871 5.0189 -5.0705
Pr Cu Pd
12 4 2
Cartesian
4.9871 3.1784 -2.5945
3.0310 0.0000 1.7583
6.9432 0.0000 1.7583
2.3447 3.2761 0.0000
2.6424 -1.7429 5.0705
0.0000 1.8405 2.4760
4.9871 3.1784 2.5945
2.3447 6.7618 0.0000
2.6424 1.7429 5.0705
-1.9561 5.0189 3.3122
1.9561 5.0189 3.3122
0.0000 1.8405 7.6651
4.9871 1.4717 0.0000
4.9871 0.0000 3.8707
0.0000 5.0189 1.1998
0.0000 3.5473 5.0705
0.0000 0.0000 0.0000
0.0000 0.0000 5.0705
```

Its spin magnetization is 0.00 μB per formula unit. The calculation puts the energy relative to the elements at -0.201 eV/atom. The value obtained for the total DFT energy (no corrections) is -4.8741 eV per atom.